Record 1
DFT (PBE) results for an optimized crystal structure of CdRe2Au.

a = 4.5531 Å, b = 4.5531 Å, c = 4.5531 Å
α = 60.00°, β = 60.00°, γ = 60.00°
Last column: nearest neighbours and their distance in Å.
Sites, in units of the cell vectors:
Cd1 0.0000 0.0000 0.0000  4 Re 2.79, 4 Au 2.79
Re1 0.5000 0.5000 0.5000  4 Re 2.79, 4 Au 2.79
Re2 0.7500 0.7500 0.7500  4 Cd 2.79, 4 Re 2.79
Au1 0.2500 0.2500 0.2500  4 Cd 2.79, 4 Re 2.79

Values from the calculation:
final energy	-6.519	eV/atom
E_form	0.73	eV per atom
spin magnetization	0.0	Bohr magnetons per cell



Record 2
DFT (PBE) results for an optimized crystal structure of PrHfCd.

a = 4.9894 Å, b = 4.9894 Å, c = 4.9894 Å
α = 60.00°, β = 60.00°, γ = 60.00°
Last column: nearest neighbours and their distance in Å.
Sites, in units of the cell vectors:
Pr1 0.0000 0.0000 0.0000  4 Hf 3.06
Hf1 0.7500 0.7500 0.7500  4 Cd 3.06, 4 Pr 3.06
Cd1 0.5000 0.5000 0.5000  4 Hf 3.06

Values from the calculation:
final energy	-4.486	eV/atom
E_form	0.72	eV per atom
spin magnetization	1.2	Bohr magnetons per cell



Record 3
DFT (PBE) results for an optimized crystal structure of NaSmFeSe3.

a = 11.3510 Å, b = 4.1876 Å, c = 12.0674 Å
α = 90.00°, β = 90.00°, γ = 90.00°
Last column: nearest neighbours and their distance in Å.
Sites, in units of the cell vectors:
Na1 0.1732 0.2500 0.0000  7 Se 3.07-3.31
Na2 0.3268 0.7500 0.5000  7 Se 3.07-3.31
Na3 0.6732 0.2500 0.5000  7 Se 3.07-3.31
Na4 0.8268 0.7500 0.0000  7 Se 3.07-3.31
Sm1 0.0188 0.2500 0.3179  7 Se 2.95-3.11
Sm2 0.4812 0.7500 0.8179  7 Se 2.95-3.11
Sm3 0.5188 0.2500 0.1821  7 Se 2.95-3.11
Sm4 0.9812 0.7500 0.6821  7 Se 2.95-3.11
Fe1 0.2480 0.2500 0.7133  4 Se 2.40-2.45
Fe2 0.2520 0.7500 0.2133  4 Se 2.40-2.45
Fe3 0.7480 0.2500 0.7867  4 Se 2.40-2.45
Fe4 0.7520 0.7500 0.2867  4 Se 2.40-2.45
Se1 0.0529 0.7500 0.1473  1 Fe 2.40
Se2 0.1103 0.2500 0.5607  1 Fe 2.42
Se3 0.2150 0.7500 0.8145  2 Fe 2.45
Se4 0.2850 0.2500 0.3145  2 Fe 2.45
Se5 0.3897 0.7500 0.0607  1 Fe 2.42
Se6 0.4471 0.2500 0.6473  1 Fe 2.40
Se7 0.5529 0.7500 0.3527  1 Fe 2.40
Se8 0.6103 0.2500 0.9393  1 Fe 2.42
Se9 0.7150 0.7500 0.6855  2 Fe 2.45
Se10 0.7850 0.2500 0.1855  2 Fe 2.45
Se11 0.8897 0.7500 0.4393  1 Fe 2.42
Se12 0.9471 0.2500 0.8527  1 Fe 2.40

Values from the calculation:
final energy	-5.236	eV/atom
spin magnetization	16.0	Bohr magnetons per cell



Record 4
DFT (PBE) results for an optimized crystal structure of PrNdGe4Pd2.

a = 4.4326 Å, b = 8.9510 Å, c = 8.9510 Å
α = 28.20°, β = 90.00°, γ = 90.00°
Last column: nearest neighbours and their distance in Å.
Sites, in units of the cell vectors:
Pr1 0.0000 0.0000 0.0000  10 Ge 3.29-3.35, 4 Pd 3.34
Nd1 0.5000 0.7856 0.7856  10 Ge 3.29-3.35, 4 Pd 3.34
Ge1 0.0000 0.3570 0.3570  1 Pd 2.45, 2 Ge 2.54
Ge2 0.0000 0.6420 0.6420  4 Pd 2.53-2.54
Ge3 0.5000 0.1439 0.1439  4 Pd 2.53-2.54
Ge4 0.5000 0.4285 0.4285  1 Pd 2.46, 2 Ge 2.54
Pd1 0.0000 0.2158 0.2158  5 Ge 2.45-2.54
Pd2 0.5000 0.5699 0.5699  5 Ge 2.46-2.54

Values from the calculation:
final energy	-5.589	eV/atom
spin magnetization	0.0	Bohr magnetons per cell



Record 5
DFT (PBE) results for an optimized crystal structure of Pd2O.

a = 6.3451 Å, b = 6.3451 Å, c = 6.3451 Å
α = 60.00°, β = 60.00°, γ = 60.00°
Last column: nearest neighbours and their distance in Å.
Sites, in units of the cell vectors:
Pd1 0.0000 0.0000 0.0000  2 O 1.94
Pd2 0.0000 0.0000 0.5000  2 O 1.94
Pd3 0.0000 0.5000 0.0000  2 O 1.94
Pd4 0.5000 0.0000 0.0000  2 O 1.94
O1 0.1250 0.1250 0.1250  4 Pd 1.94
O2 0.8750 0.8750 0.8750  4 Pd 1.94

Values from the calculation:
final energy	-4.830	eV/atom



Record 6
DFT (PBE) results for an optimized crystal structure of YEr2Cu4Si2Sn2.

a = 8.1184 Å, b = 8.1184 Å, c = 8.1184 Å
α = 149.92°, β = 130.18°, γ = 59.30°
Last column: nearest neighbours and their distance in Å.
Sites, in units of the cell vectors:
Y1 0.0000 0.0000 0.0000  4 Sn 2.93, 2 Si 3.05
Er1 0.3653 0.8653 0.5000  6 Cu 2.89-3.06, 2 Si 2.98, 4 Sn 3.16
Er2 0.6347 0.1347 0.5000  6 Cu 2.89-3.06, 2 Si 2.98, 4 Sn 3.16
Cu1 0.0085 0.3178 0.6907  3 Si 2.52-2.55, 1 Cu 2.61, 1 Sn 2.67
Cu2 0.3729 0.6822 0.6907  3 Si 2.52-2.55, 1 Cu 2.61, 1 Sn 2.67
Cu3 0.6271 0.3178 0.3093  3 Si 2.52-2.55, 1 Cu 2.61, 1 Sn 2.67
Cu4 0.9915 0.6822 0.3093  3 Si 2.52-2.55, 1 Cu 2.61, 1 Sn 2.67
Si1 0.2164 0.2164 0.0000  6 Cu 2.52-2.55
Si2 0.7836 0.7836 0.0000  6 Cu 2.52-2.55
Sn1 0.2973 0.5000 0.7973  2 Cu 2.67, 1 Sn 2.77, 2 Y 2.93
Sn2 0.7027 0.5000 0.2027  2 Cu 2.67, 1 Sn 2.77, 2 Y 2.93

Values from the calculation:
final energy	-5.004	eV/atom
spin magnetization	0.0	Bohr magnetons per cell